Computed, not measured: a relaxed structure of K2Dy2SnS6 at the PBE-GGA level of DFT.

The structure in POSCAR format:
```
K2Dy2SnS6
1.0
6.7584 0.0000 0.0000
-3.3792 5.8530 0.0000
0.0000 0.0000 7.6845
K Dy Sn S
2 2 1 6
direct
0.3333 0.6667 0.0010 K
0.6667 0.3333 0.9990 K
0.3333 0.6667 0.4996 Dy
0.6667 0.3333 0.5004 Dy
0.0000 0.0000 0.5000 Sn
0.0007 0.3191 0.6951 S
0.3183 0.9993 0.6951 S
0.3191 0.3183 0.3049 S
0.6809 0.6817 0.6951 S
0.6817 0.0007 0.3049 S
0.9993 0.6809 0.3049 S
```

Computed, not measured: a relaxed structure of Gd2Fe14C at the PBE-GGA level of DFT.

The structure in POSCAR format:
```
Gd2Fe14C
1.0
8.7270 0.0000 0.0000
0.0000 8.7270 0.0000
0.0000 0.0000 11.7684
Gd Fe C
8 56 4
direct
0.1437 0.1437 0.0000 Gd
0.2399 0.2399 0.5000 Gd
0.2601 0.7399 0.0000 Gd
0.3563 0.6437 0.5000 Gd
0.6437 0.3563 0.5000 Gd
0.7399 0.2601 0.0000 Gd
0.7601 0.7601 0.5000 Gd
0.8563 0.8563 0.0000 Gd
0.0000 0.0000 0.3920 Fe
0.0000 0.0000 0.6080 Fe
0.0000 0.5000 0.0000 Fe
0.0000 0.5000 0.5000 Fe
0.0361 0.6416 0.1759 Fe
0.0361 0.6416 0.8241 Fe
0.0651 0.7253 0.3793 Fe
0.0651 0.7253 0.6207 Fe
0.0973 0.9027 0.2052 Fe
0.0973 0.9027 0.7948 Fe
0.1416 0.4639 0.3241 Fe
0.1416 0.4639 0.6759 Fe
0.1837 0.1837 0.2548 Fe
0.1837 0.1837 0.7452 Fe
0.2253 0.4349 0.1207 Fe
0.2253 0.4349 0.8793 Fe
0.2747 0.9349 0.3793 Fe
0.2747 0.9349 0.6207 Fe
0.3163 0.6837 0.2452 Fe
0.3163 0.6837 0.7548 Fe
0.3584 0.9639 0.1759 Fe
0.3584 0.9639 0.8241 Fe
0.4027 0.4027 0.2948 Fe
0.4027 0.4027 0.7052 Fe
0.4349 0.2253 0.1207 Fe
0.4349 0.2253 0.8793 Fe
0.4639 0.1416 0.3241 Fe
0.4639 0.1416 0.6759 Fe
0.5000 0.0000 0.0000 Fe
0.5000 0.0000 0.5000 Fe
0.5000 0.5000 0.1080 Fe
0.5000 0.5000 0.8920 Fe
0.5361 0.8584 0.3241 Fe
0.5361 0.8584 0.6759 Fe
0.5651 0.7747 0.1207 Fe
0.5651 0.7747 0.8793 Fe
0.5973 0.5973 0.2948 Fe
0.5973 0.5973 0.7052 Fe
0.6416 0.0361 0.1759 Fe
0.6416 0.0361 0.8241 Fe
0.6837 0.3163 0.2452 Fe
0.6837 0.3163 0.7548 Fe
0.7253 0.0651 0.3793 Fe
0.7253 0.0651 0.6207 Fe
0.7747 0.5651 0.1207 Fe
0.7747 0.5651 0.8793 Fe
0.8163 0.8163 0.2548 Fe
0.8163 0.8163 0.7452 Fe
0.8584 0.5361 0.3241 Fe
0.8584 0.5361 0.6759 Fe
0.9027 0.0973 0.2052 Fe
0.9027 0.0973 0.7948 Fe
0.9349 0.2747 0.3793 Fe
0.9349 0.2747 0.6207 Fe
0.9639 0.3584 0.1759 Fe
0.9639 0.3584 0.8241 Fe
0.1265 0.8735 0.5000 C
0.3735 0.3735 0.0000 C
0.6265 0.6265 0.0000 C
0.8735 0.1265 0.5000 C
```

Number 1: E -0.3731 Ry per atom. Number 2: E -0.5874 Ry per atom.